Entry 1:
# Sm2Si3Rh5, optimized geometry, DFT PBE
# D(E_F) ... 20.92 states/eV/cell
# Raw formation energy ... -876 meV/atom
data_Sm2Si3Rh5
_chemical_formula_sum 'Sm8 Si12 Rh20'
_space_group_name_H-M_alt 'C m c 21'
_space_group_IT_number 36
_space_group_name_Hall 'C 2c -2'
_cell_length_a 4.0779
_cell_length_b 24.6782
_cell_length_c 6.6063
_cell_angle_alpha 90.00
_cell_angle_beta 90.00
_cell_angle_gamma 90.00
loop_
_atom_site_label
_atom_site_type_symbol
_atom_site_fract_x
_atom_site_fract_y
_atom_site_fract_z
Sm1 Sm 0.0000 0.0181 0.0000
Sm2 Sm 0.0000 0.3236 0.9883
Si1 Si 0.0000 0.1124 0.2486
Si2 Si 0.0000 0.2718 0.4768
Si3 Si 0.0000 0.4456 0.2068
Rh1 Rh 0.0000 0.1011 0.6517
Rh2 Rh 0.0000 0.2078 0.1822
Rh3 Rh 0.0000 0.2109 0.7714
Rh4 Rh 0.0000 0.3689 0.4738
Rh5 Rh 0.0000 0.4388 0.8402


Entry 2:
# Sm3Si5Rh6, optimized geometry, DFT PBE
# D(E_F) ... 9.64 states/eV/cell
# Raw formation energy ... -1018 meV/atom
data_Sm3Si5Rh6
_chemical_formula_sum 'Sm6 Si10 Rh12'
_space_group_name_H-M_alt 'P m m n'
_space_group_IT_number 59
_cell_length_a 4.0005
_cell_length_b 12.4833
_cell_length_c 9.8198
_cell_angle_alpha 90.00
_cell_angle_beta 90.00
_cell_angle_gamma 90.00
loop_
_space_group_symop_operation_xyz
'x,y,z'
'-x,-y,-z'
'-x+1/2,-y+1/2,z'
'x+1/2,y+1/2,-z'
'x+1/2,-y,-z'
'-x+1/2,y,z'
'-x,y+1/2,-z'
'x,-y+1/2,z'
loop_
_atom_site_label
_atom_site_type_symbol
_atom_site_fract_x
_atom_site_fract_y
_atom_site_fract_z
Sm1 Sm 0.2500 0.0936 0.2467
Sm2 Sm 0.2500 0.7500 0.2430
Si1 Si 0.2500 0.0760 0.6473
Si2 Si 0.2500 0.6269 0.9898
Si3 Si 0.2500 0.7500 0.6062
Rh1 Rh 0.2500 0.0490 0.8990
Rh2 Rh 0.2500 0.2500 0.0119
Rh3 Rh 0.2500 0.2500 0.5218
Rh4 Rh 0.2500 0.5810 0.4905


Entry 3:
# Sm2SiRh, optimized geometry, DFT PBE
# D(E_F) ... 5.53 states/eV/cell
# Raw formation energy ... -764 meV/atom
data_Sm2SiRh
_chemical_formula_sum 'Sm4 Si2 Rh2'
_space_group_name_H-M_alt 'P 1 21/m 1'
_space_group_IT_number 11
_space_group_name_Hall '-P 2yb'
_cell_length_a 5.7161
_cell_length_b 4.2682
_cell_length_c 8.0661
_cell_angle_alpha 90.00
_cell_angle_beta 108.05
_cell_angle_gamma 90.00
loop_
_atom_site_label
_atom_site_type_symbol
_atom_site_fract_x
_atom_site_fract_y
_atom_site_fract_z
Sm1 Sm 0.2000 0.2500 0.4191
Sm2 Sm 0.2817 0.7500 0.0659
Si1 Si 0.3563 0.7500 0.7097
Rh1 Rh 0.1655 0.2500 0.7813